Computed, not measured: a geometry-optimized Pm6Te2C structure at the GGA-PBE level of DFT.

ΔE to the lowest computed polymorph: 0 meV per atom
uncorrected formation energy: -0.6586 eV/atom
SG: P2_1/c, No. 14
E_tot: -5.55 eV/atom

a = 6.560 Å, b = 7.957 Å, c = 9.971 Å
α = 90.00°, β = 87.88°, γ = 90.00°
Fractional coordinates of all 18 atoms:
Pm 0.115 0.022 0.252
Pm 0.138 0.291 0.544
Pm 0.169 0.330 0.965
Pm 0.331 0.830 0.535
Pm 0.362 0.791 0.956
Pm 0.385 0.522 0.248
Pm 0.885 0.978 0.748
Pm 0.862 0.709 0.456
Pm 0.831 0.670 0.035
Pm 0.669 0.170 0.465
Pm 0.638 0.209 0.044
Pm 0.615 0.478 0.752
Te 0.076 0.608 0.747
Te 0.424 0.108 0.753
Te 0.576 0.892 0.247
Te 0.924 0.392 0.253
C 0.500 0.500 0.000
C 0.000 0.000 0.500

Computed, not measured: a geometry-optimized Pm2TeC2 structure at the GGA-PBE level of DFT.

uncorrected formation energy: -0.7217 eV/atom
SG: C2/c, No. 15
E_tot: -6.94 eV/atom

a = 4.273 Å, b = 7.233 Å, c = 7.585 Å
α = 101.14°, β = 106.36°, γ = 90.00°
Fractional coordinates of all 10 atoms:
Pm 0.836 0.140 0.302
Pm 0.466 0.640 0.302
Pm 0.164 0.860 0.698
Pm 0.534 0.360 0.698
Te 0.800 0.750 0.000
Te 0.200 0.250 0.000
C 0.899 0.465 0.538
C 0.360 0.035 0.462
C 0.101 0.535 0.462
C 0.640 0.965 0.538

- The highest E_tot belongs to which entry?
  Pm6Te2C